Below is an optimized crystal structure of MgSc5Al4, with properties calculated at the GGA-PBEsol level.

Structure (POSCAR):
```
MgSc5Al4
1.0
3.371 0.000 0.000
0.000 3.371 0.000
0.000 0.000 17.126
Sc Al Mg
5 4 1
Direct
0.000 0.000 0.889
0.000 0.000 0.307
0.000 0.000 0.500
0.000 0.000 0.693
0.000 0.000 0.111
0.500 0.500 0.792
0.500 0.500 0.403
0.500 0.500 0.208
0.500 0.500 0.597
0.500 0.500 0.000
```

Computed properties:
SG = No. 123
formation enthalpy at 0 K = -0.38 eV per atom

***

Below is an optimized crystal structure of CuHg3P, with properties calculated at the GGA-PBEsol level.

Structure (POSCAR):
```
CuHg3P
1.0
5.046 0.000 0.000
0.000 5.046 0.000
0.000 0.000 5.046
P Hg Cu
1 3 1
Direct
0.000 0.000 0.000
0.000 0.000 0.500
0.000 0.500 0.000
0.500 0.000 0.000
0.500 0.500 0.500
```

Computed properties:
SG = No. 221
formation enthalpy at 0 K = 0.69 eV per atom

***

Below is an optimized crystal structure of Y3HgC, with properties calculated at the GGA-PBEsol level.

Structure (POSCAR):
```
Y3HgC
1.0
6.813 0.004 0.004
-3.383 5.914 -0.004
-3.342 -2.016 5.585
C Y Hg
2 6 2
Direct
0.500 0.000 0.500
0.500 0.500 0.000
0.576 0.326 0.750
0.000 0.788 0.288
0.500 0.788 0.788
0.500 0.212 0.212
0.000 0.212 0.712
0.424 0.674 0.250
0.991 0.241 0.250
0.009 0.759 0.750
```

Computed properties:
SG = No. 74
E above lowest polymorph = 0.0000 eV per atom
formation enthalpy at 0 K = -0.50 eV per atom

***

Below is an optimized crystal structure of In4CuAg3Te8, with properties calculated at the GGA-PBEsol level.

Structure (POSCAR):
```
In4CuAg3Te8
1.0
6.358 0.000 0.000
0.000 6.358 0.000
0.000 0.000 12.710
Te In Ag Cu
8 4 3 1
Direct
0.762 0.750 0.127
0.238 0.250 0.127
0.263 0.729 0.383
0.750 0.238 0.873
0.729 0.737 0.617
0.737 0.271 0.383
0.250 0.762 0.873
0.271 0.263 0.617
0.500 0.000 0.254
0.500 0.500 0.000
0.000 0.000 0.500
0.000 0.500 0.746
0.000 0.500 0.257
0.000 0.000 0.000
0.500 0.000 0.743
0.500 0.500 0.500
```

Computed properties:
SG = No. 81
uncorrected formation energy = -0.219 eV/atom

***

Below is an optimized crystal structure of MgTl, with properties calculated at the GGA-PBEsol level.

Structure (POSCAR):
```
MgTl
1.0
3.352 -0.083 0.000
-1.414 3.041 0.000
0.000 0.000 4.926
Mg Tl
1 1
Direct
0.000 0.000 0.000
0.500 0.500 0.500
```

Computed properties:
SG = No. 65
formation enthalpy at 0 K = -0.02 eV per atom

***

Below is an optimized crystal structure of NbOF3, with properties calculated at the GGA-PBEsol level.

Structure (POSCAR):
```
NbOF3
1.0
6.303 -0.222 0.127
-2.595 7.267 -0.234
-2.725 -2.487 7.910
F Nb O
12 4 4
Direct
0.171 0.456 0.751
0.311 0.883 0.507
0.558 0.680 0.045
0.442 0.320 0.955
0.833 0.572 0.902
0.994 0.990 0.690
0.829 0.544 0.249
0.685 0.105 0.806
0.006 0.010 0.310
0.689 0.117 0.493
0.315 0.895 0.194
0.167 0.428 0.098
0.513 0.535 0.207
0.347 0.097 0.371
0.653 0.903 0.629
0.487 0.465 0.793
0.563 0.699 0.712
0.437 0.301 0.288
0.581 0.725 0.399
0.419 0.275 0.601
```

Computed properties:
SG = No. 2
uncorrected formation energy = -2.865 eV/atom

***

Below is an optimized crystal structure of Zr2HgBi2, with properties calculated at the GGA-PBEsol level.

Structure (POSCAR):
```
Zr2HgBi2
1.0
3.931 0.000 0.000
0.000 7.876 0.000
0.000 0.000 7.876
Zr Bi Hg
4 4 2
Direct
0.000 0.143 0.357
0.000 0.357 0.857
0.000 0.643 0.143
0.000 0.857 0.643
0.500 0.655 0.845
0.500 0.345 0.155
0.500 0.845 0.345
0.500 0.155 0.655
0.000 0.000 0.000
0.000 0.500 0.500
```

Computed properties:
SG = No. 127
formation enthalpy at 0 K = -0.32 eV per atom

***

Below is an optimized crystal structure of Os2Ru, with properties calculated at the GGA-PBEsol level.

Structure (POSCAR):
```
Os2Ru
1.0
-0.298 -2.158 1.621
1.095 -1.888 -4.588
5.745 1.101 2.520
Os Ru
4 2
Direct
0.333 0.666 0.667
0.000 0.999 0.999
0.667 0.334 0.333
0.389 0.778 0.278
0.722 0.444 0.945
0.056 0.111 0.611
```

Computed properties:
SG = No. 8
E above lowest polymorph = 0.0071 eV per atom
formation enthalpy at 0 K = -0.01 eV per atom

***

Number 1: energy -54.945 eV per cell. Number 2: energy -8.396 eV per cell. Number 3: energy -66.354 eV per cell. Number 4: energy -57.909 eV per cell. Number 5: energy -4.396 eV per cell. Number 6: energy -144.710 eV per cell. Number 7: energy -57.865 eV per cell. Number 8: energy -69.251 eV per cell.